(1)
BaInSn4: relaxed, GGA-PBE.

Calculated values
magnetization = 0.00 μB per formula unit
SG = C2/c, No. 15
formation enthalpy at 0 K = -1.0 eV/f.u.
ρ = 5.957 g cm⁻³
final energy = -3.617 eV/atom
offset from the most stable computed form = 124.9 meV/atom

a b c (Å): 9.106 9.106 6.996
angles (deg): 94.57 94.57 44.53
Positions (direct):
Ba 0.236 0.764 0.750
Ba 0.764 0.236 0.250
In 0.000 0.500 0.500
In 0.500 0.000 0.000
Sn 0.168 0.655 0.261
Sn 0.199 0.435 0.905
Sn 0.345 0.832 0.239
Sn 0.435 0.199 0.405
Sn 0.565 0.801 0.595
Sn 0.655 0.168 0.761
Sn 0.801 0.565 0.095
Sn 0.832 0.345 0.739


(2)
PmSmEr: relaxed, GGA-PBE.

Calculated values
magnetization = 0.00 μB per formula unit
SG = C2/m, No. 12
formation enthalpy at 0 K = 0.1 eV/f.u.
ρ = 7.799 g cm⁻³
final energy = -4.660 eV/atom
offset from the most stable computed form = 0.0 meV/atom

a b c (Å): 11.398 5.066 7.195
angles (deg): 90.00 108.51 90.00
Positions (direct):
Pm 0.001 0.000 0.252
Pm 0.499 0.500 0.748
Pm 0.501 0.500 0.252
Pm 0.999 0.000 0.748
Sm 0.168 0.500 0.085
Sm 0.332 0.000 0.915
Sm 0.668 0.000 0.085
Sm 0.832 0.500 0.915
Er 0.167 0.500 0.582
Er 0.333 0.000 0.418
Er 0.667 0.000 0.582
Er 0.833 0.500 0.418


(3)
La2Ga3Ag2: relaxed, GGA-PBE.

Calculated values
magnetization = 0.00 μB per formula unit
SG = C2/m, No. 12
formation enthalpy at 0 K = -3.1 eV/f.u.
ρ = 7.330 g cm⁻³
final energy = -3.966 eV/atom

a b c (Å): 10.839 4.656 6.767
angles (deg): 90.00 111.19 90.00
Positions (direct):
La 0.156 0.000 0.271
La 0.344 0.500 0.729
La 0.656 0.500 0.271
La 0.844 0.000 0.729
Ga 0.000 0.500 0.500
Ga 0.092 0.500 0.921
Ga 0.408 0.000 0.079
Ga 0.500 0.000 0.500
Ga 0.592 0.000 0.921
Ga 0.908 0.500 0.079
Ag 0.147 0.000 0.761
Ag 0.353 0.500 0.239
Ag 0.647 0.500 0.761
Ag 0.853 0.000 0.239


> What is the magnetization in the first record?

0.00 μB per formula unit


> Number 3 is which compound?

La2Ga3Ag2


> Among the records above, which one has the lowest formation enthalpy at 0 K?

La2Ga3Ag2


> What is the magnetization in the third record?

0.00 μB per formula unit